Here is a geometry-optimized Ca2Pm4C structure from the Alexandria database. Energies are from GGA-PBE.

Unit cell a=5.1834 b=5.1834 c=9.8381 alpha=105.27 beta=105.27 gamma=90.00
Closest atoms and distances in Å follow each position.
Positions (direct):
Pm 0.8694 0.8694 0.7389  1 C 2.38
Pm 0.5000 0.0000 0.0000  2 C 2.59
Pm 0.0000 0.5000 0.0000  2 C 2.59
Pm 0.1306 0.1306 0.2611  1 C 2.38
C 0.0000 0.0000 0.0000  6 Pm 2.38-2.59
Ca 0.3343 0.3343 0.6686  9 Pm 3.72-3.98
Ca 0.6657 0.6657 0.3314  9 Pm 3.72-3.98



Here is a geometry-optimized CaPm2C structure from the Alexandria database. Energies are from GGA-PBE.

Unit cell a=3.7245 b=3.7250 c=9.7500 alpha=90.03 beta=90.00 gamma=120.00
Closest atoms and distances in Å follow each position.
Positions (direct):
C 0.0000 0.0000 0.5000  6 Pm 2.56
Pm 0.3332 0.6663 0.3576  3 C 2.56
Pm 0.6668 0.3337 0.6424  3 C 2.56
Ca 0.0000 0.0000 0.0000  6 Ca 3.72, 6 Pm 4.09-4.10

Output
offset from the most stable computed form: 0.000 eV per atom



Here is a geometry-optimized CaPm2SnC structure from the Alexandria database. Energies are from GGA-PBE.

Unit cell a=4.9927 b=5.0637 c=5.0637 alpha=90.00 beta=90.00 gamma=90.00
Closest atoms and distances in Å follow each position.
Positions (direct):
Sn 0.5000 0.5000 0.5000  8 Pm 3.56, 4 Ca 3.58
Pm 0.0000 0.0000 0.5000  2 C 2.53
Pm 0.0000 0.5000 0.0000  2 C 2.53
Ca 0.5000 0.0000 0.0000  2 C 2.50
C 0.0000 0.0000 0.0000  2 Ca 2.50, 4 Pm 2.53



Here is a geometry-optimized CaPr2C structure from the Alexandria database. Energies are from GGA-PBE.

Unit cell a=3.7282 b=3.7282 c=10.5744 alpha=79.85 beta=79.85 gamma=60.00
Closest atoms and distances in Å follow each position.
Positions (direct):
Pr 0.1209 0.1209 0.6373  3 C 2.58
Pr 0.8791 0.8791 0.3627  3 C 2.58
C 0.5000 0.5000 0.5000  6 Pr 2.58
Ca 0.0000 0.0000 0.0000  6 Ca 3.73, 2 Pr 3.75

Output
offset from the most stable computed form: 0.057 eV per atom



Here is a geometry-optimized CaPr3C8 structure from the Alexandria database. Energies are from GGA-PBE.

Unit cell a=6.4973 b=6.5016 c=6.4972 alpha=68.08 beta=75.36 gamma=111.93
Closest atoms and distances in Å follow each position.
Positions (direct):
C 0.3952 0.0000 0.9343  1 C 1.28
C 0.3847 0.0000 0.1339  1 C 1.28
C 0.8661 0.0000 0.6153  1 C 1.28
C 0.0657 0.0000 0.6048  1 C 1.28
C 0.6051 0.6704 0.3949  1 C 1.28
C 0.1343 0.5186 0.8657  1 C 1.28
C 0.9347 0.3296 0.0653  1 C 1.28
C 0.6157 0.4814 0.3843  1 C 1.28
Pr 0.5001 0.0000 0.5000  8 C 2.67-2.73
Pr 0.2493 0.5000 0.2507  8 C 2.72-2.76
Pr 0.7493 0.5000 0.7507  8 C 2.72-2.76
Ca 0.9999 0.0000 0.0001  4 C 2.49



Here is a geometry-optimized CaPrC4 structure from the Alexandria database. Energies are from GGA-PBE.

Unit cell a=3.8895 b=4.2145 c=6.9599 alpha=81.17 beta=73.77 gamma=62.52
Closest atoms and distances in Å follow each position.
Positions (direct):
C 0.2936 0.1138 0.2989  1 C 1.28
C 0.1941 0.4122 0.1995  1 C 1.28
C 0.7064 0.8862 0.7011  1 C 1.28
C 0.8059 0.5878 0.8005  1 C 1.28
Ca 0.0000 0.0000 0.0000  10 C 2.54-2.84
Pr 0.5000 0.5000 0.5000  10 C 2.63-2.82



Here is a geometry-optimized CaPr2C structure from the Alexandria database. Energies are from GGA-PBE.

Unit cell a=3.7590 b=3.7590 c=10.1885 alpha=79.08 beta=79.37 gamma=60.00
Closest atoms and distances in Å follow each position.
Positions (direct):
Pr 0.2875 0.2827 0.1423  3 C 2.59
Pr 0.0469 0.0500 0.8563  3 C 2.60
Ca 0.4989 0.5014 0.5009  6 Ca 3.76, 6 Pr 4.14-4.19
C 0.6667 0.6659 0.0006  6 Pr 2.59-2.60

Output
offset from the most stable computed form: 0.000 eV per atom



Here is a geometry-optimized CaPr2SnC structure from the Alexandria database. Energies are from GGA-PBE.

Unit cell a=5.0150 b=5.1517 c=5.1517 alpha=90.00 beta=90.00 gamma=90.00
Closest atoms and distances in Å follow each position.
Positions (direct):
Ca 0.5000 0.0000 0.0000  2 C 2.51
Pr 0.0000 0.5000 0.0000  2 C 2.58
Pr 0.0000 0.0000 0.5000  2 C 2.58
C 0.0000 0.0000 0.0000  2 Ca 2.51, 4 Pr 2.58
Sn 0.5000 0.5000 0.5000  8 Pr 3.59, 4 Ca 3.64



Number 1: uncorrected energy -4.454 eV/atom, formation enthalpy at 0 K 0.1497 eV/atom. Number 2: uncorrected energy -5.272 eV/atom, formation enthalpy at 0 K -0.0901 eV/atom. Number 3: uncorrected energy -5.406 eV/atom, formation enthalpy at 0 K -0.4605 eV/atom. Number 4: uncorrected energy -5.176 eV/atom, formation enthalpy at 0 K 0.0199 eV/atom. Number 5: uncorrected energy -7.366 eV/atom, formation enthalpy at 0 K 0.1447 eV/atom. Number 6: uncorrected energy -7.310 eV/atom, formation enthalpy at 0 K -0.0308 eV/atom. Number 7: uncorrected energy -5.233 eV/atom, formation enthalpy at 0 K -0.0368 eV/atom. Number 8: uncorrected energy -5.372 eV/atom, formation enthalpy at 0 K -0.4146 eV/atom.